NaVFeO4 | Alexandria via LeMat-Bulk | GGA+U | optimized geometry; space-group type = No. 11; raw total energy = -6.609 eV/atom; N(E_F) = 0.000 states/eV/atom; V = 199 Å³ per cell
1.0
5.503 0.000 0.241
0.000 5.935 0.000
-1.894 0.000 6.022
Na V Fe O
2 2 2 8
Cartesian
2.342 4.451 5.920
1.267 1.484 0.343
0.968 4.451 2.181
2.640 1.484 4.082
3.658 4.451 3.094
-0.049 1.484 3.169
3.748 2.843 4.411
-0.139 5.810 1.852
-0.139 3.092 1.852
3.748 0.125 4.411
2.469 4.451 1.308
1.140 1.484 4.955
1.402 4.451 3.819
2.207 1.484 2.444